First-principles (PBE) data for a relaxed structure of SmCdSi, as listed in the Open Quantum Materials Database.

Values from the calculation:
Total magnetization   0.000 μB/atom
SG   F-43m
E   -10.85 eV per cell
Density   5.8 g/cm3

Geometry as CIF:
```
data_SmCdSi
_symmetry_space_group_name_H-M 'P 1'
_symmetry_Int_Tables_number 1
_cell_length_a 4.8890
_cell_length_b 4.8890
_cell_length_c 4.8890
_cell_angle_alpha 60.00
_cell_angle_beta 60.00
_cell_angle_gamma 60.00
loop_
_symmetry_equiv_pos_as_xyz
'x,y,z'
loop_
_atom_site_label
_atom_site_type_symbol
_atom_site_fract_x
_atom_site_fract_y
_atom_site_fract_z
Sm1 Sm 0.0000 0.0000 0.0000
Cd1 Cd 0.7500 0.7500 0.7500
Si1 Si 0.2500 0.2500 0.2500
```